Entry 1:
ZrBi2: relaxed, GGA-PBE.

a = 10.3857 Å, b = 15.6832 Å, c = 4.0684 Å
α = 90.00°, β = 90.00°, γ = 90.00°
Fractional positions:
1 Zr 0.0229 0.2491 0.0000
2 Zr 0.1632 0.5054 0.0000
3 Zr 0.3368 0.0054 0.5000
4 Zr 0.4771 0.7491 0.5000
5 Zr 0.5229 0.2509 0.5000
6 Zr 0.6632 0.9946 0.5000
7 Zr 0.8368 0.4946 0.0000
8 Zr 0.9771 0.7509 0.0000
9 Bi 0.0124 0.3942 0.5000
10 Bi 0.1226 0.0571 0.0000
11 Bi 0.1540 0.8495 0.5000
12 Bi 0.2342 0.2001 0.5000
13 Bi 0.2658 0.7001 0.0000
14 Bi 0.3461 0.3495 0.0000
15 Bi 0.3774 0.5571 0.5000
16 Bi 0.4876 0.8942 0.0000
17 Bi 0.5124 0.1058 0.0000
18 Bi 0.6226 0.4429 0.5000
19 Bi 0.6540 0.6505 0.0000
20 Bi 0.7342 0.2999 0.0000
21 Bi 0.7658 0.7999 0.5000
22 Bi 0.8460 0.1505 0.5000
23 Bi 0.8774 0.9429 0.0000
24 Bi 0.9876 0.6058 0.5000

Results
Size of the total moment   0.0 μB per cell
Total energy   -137.38 eV for the cell shown
Formation energy from the elements   -288 meV/atom
Space-group type   No. 58
Volume   27.61 A^3/atom

---

Entry 2:
In2H2I7: relaxed, GGA-PBE.

a = 8.4332 Å, b = 8.4332 Å, c = 9.4436 Å
α = 124.01°, β = 124.01°, γ = 72.45°
Fractional positions:
1 In 0.1997 0.1997 0.1981
2 In 0.8003 0.8003 0.8019
3 H 0.3054 0.6946 0.0000
4 H 0.6946 0.3054 0.0000
5 I 0.0015 0.0015 0.2351
6 I 0.1071 0.4994 0.8049
7 I 0.4994 0.1071 0.8049
8 I 0.5000 0.5000 0.5000
9 I 0.5006 0.8929 0.1951
10 I 0.8929 0.5006 0.1951
11 I 0.9985 0.9985 0.7649

Results
Size of the total moment   0.0 μB per cell
Total energy   -25.60 eV for the cell shown
Space-group type   No. 12
Volume   41.95 A^3/atom

---

Entry 3:
Ba2TaNi: relaxed, GGA-PBE.

a = 7.0390 Å, b = 7.0390 Å, c = 7.0390 Å
α = 149.08°, β = 134.60°, γ = 55.94°
Fractional positions:
1 Ba 0.0000 0.0000 0.0000
2 Ba 0.7155 0.2155 0.5000
3 Ta 0.4070 0.4070 0.0000
4 Ni 0.2918 0.7918 0.5000

Results
Size of the total moment   0.0 μB per cell
Total energy   -19.14 eV for the cell shown
Formation energy from the elements   584 meV/atom
Space-group type   No. 44
Relative energy among the computed polymorphs   155.1 meV/atom
Volume   31.68 A^3/atom